The following is a GGA-PBE calculation of AcNdMgIn after structural relaxation, from the Alexandria database.

Properties
energy of formation from the pure elements: -1.1 eV per formula unit
excess energy over the best structure of this formula in the dataset: 6 meV/atom
space group: No. 99
magnetic moment: 0.000 μB/atom
calculated volume: 31.95 Å³ per atom
energy: -14.29 eV/cell

Geometry as POSCAR:
```
AcNdMgIn
1.0
4.0154 0.0000 0.0000
0.0000 4.0154 0.0000
0.0000 0.0000 7.9272
Mg Ac In Nd
1 1 1 1
Direct
0.5000 0.5000 0.5824
0.0000 0.0000 0.8582
0.5000 0.5000 0.1316
0.0000 0.0000 0.3558
```



The following is a GGA-PBE calculation of AcNdMgIn after structural relaxation, from the Alexandria database.

Properties
energy of formation from the pure elements: -1.1 eV per formula unit
excess energy over the best structure of this formula in the dataset: 0 meV/atom
space group: No. 216
magnetic moment: 0.000 μB/atom
calculated volume: 31.90 Å³ per atom
energy: -14.31 eV/cell

Geometry as POSCAR:
```
AcNdMgIn
1.0
5.6510 0.0000 0.0000
2.8255 4.8939 0.0000
2.8255 1.6313 4.6140
In Ac Mg Nd
1 1 1 1
Direct
0.5000 0.5000 0.5000
0.2500 0.2500 0.2500
0.0000 0.0000 0.0000
0.7500 0.7500 0.7500
```



The following is a GGA-PBE calculation of AcMgIn2Ni after structural relaxation, from the Alexandria database.

Properties
energy of formation from the pure elements: -1.6 eV per formula unit
space group: No. 44
magnetic moment: 0.000 μB/atom
calculated volume: 24.79 Å³ per atom
energy: -18.59 eV/cell

Geometry as POSCAR:
```
AcMgIn2Ni
1.0
4.5393 0.0000 0.0000
0.0000 4.5882 0.0000
-2.2697 -2.2941 5.9511
Ac Mg In Ni
1 1 2 1
Direct
0.4362 0.4362 0.8724
0.2032 0.7032 0.4063
0.0411 0.0411 0.0823
0.7070 0.2070 0.4140
0.8247 0.8247 0.6493
```



Question: magnetic moment of number 3 (AcMgIn2Ni)?
Answer: 0.000 μB/atom